A relaxed Cs3KGa crystal, computed with PBE-GGA.

abc: 7.4536 7.4536 7.4536
angles: 90.00 90.00 90.00
Space group Pm-3m (No. 221)
Symmetry-distinct sites (fractional):
Cs  0.0000  0.0000  0.5000 x3
K  0.5000  0.5000  0.5000 x1
Ga  0.0000  0.0000  0.0000 x1

Computed properties:
- calculated density (g/cm³) = 2.04
- DFT formation energy (meV per atom) = 144.9
- crystal system = cubic
- energy relative to the lowest polymorph listed for this composition (meV per atom) = 0